Compound: Co2RuF2
Source: Alexandria
Functional: GGA+U
Structure: relaxed

Output
density of states at the Fermi level: 3.7 states/eV/f.u.
offset from the most stable computed form: 459 meV/atom
V: 13.647 A^3/atom
E_tot: -4.686 eV per atom
M_tot: 6.49 μB/f.u.

Structure (POSCAR):
```
Co2RuF2
1.0
7.2669 0.0000 0.0000
0.0000 7.2669 0.0000
0.0000 0.0000 2.5842
Co Ru F
4 2 4
direct
0.2235 0.2765 0.0000
0.2765 0.7765 0.0000
0.7235 0.2235 0.0000
0.7765 0.7235 0.0000
0.0000 0.0000 0.0000
0.5000 0.5000 0.0000
0.1221 0.6221 0.5000
0.3779 0.1221 0.5000
0.6221 0.8779 0.5000
0.8779 0.3779 0.5000
```